14
Lattice="8.025 0.000 0.000 0.000 11.790 0.000 0.000 0.000 6.196" Properties=species:S:1:pos:R:3 comment="Sm5DyHo GGA-PBE relaxed" e_above_lowest_polymorph_mev_per_atom=717 energy_ev_per_atom=-3.776 e_form_ev_per_atom=0.906 pbc="T T T"
Sm 0.000 0.000 0.000
Sm 0.000 2.914 4.549
Sm 0.000 8.876 4.549
Sm 1.431 5.895 1.464
Sm 2.582 0.000 4.562
Sm 4.013 2.981 1.451
Sm 4.013 5.895 3.098
Sm 4.013 8.809 1.451
Sm 5.444 0.000 4.562
Sm 6.594 5.895 1.464
Dy 0.000 0.000 2.918
Dy 4.013 5.895 6.016
Ho 0.000 5.895 4.570
Ho 4.013 0.000 1.472